Entry 1:
The following is a PBE calculation of Sm4Dy5 after structural relaxation, from Alexandria.

The structure belongs to space group Immm (No. 71); the cell edges are 3.654, 12.173 and 13.159 Å and the angles 90.00°, 90.00° and 90.00°. The asymmetric unit holds Sm at (0.000, 0.143, 0.189), Dy at (0.000, 0.205, 0.500), Dy at (0.000, 0.500, 0.125) and Dy at (0.000, 0.500, 0.500).

For the density, the calculation gives 8.024 g/cm³. The value obtained for the polymorph energy (0 for the lowest one) is 17 meV per atom. For the formation energy, the calculation gives 0.03 eV per atom. For the total magnetization, the calculation gives 0.0 μB/f.u. The density of states at the Fermi level comes out at 11.5 states/eV/f.u.

Entry 2:
The following is a PBE calculation of LiAl4Ag after structural relaxation, from Alexandria.

The structure belongs to space group P-1 (No. 2); the cell edges are 4.311, 6.982 and 7.719 Å and the angles 106.10°, 90.40° and 107.53°. The asymmetric unit holds Li at (0.143, 0.288, 0.219), Al at (0.077, 0.160, 0.852), Al at (0.214, 0.426, 0.586), Al at (0.295, 0.590, 0.952), Al at (0.431, 0.857, 0.624), Ag at (0.000, 0.000, 0.500) and Ag at (0.500, 0.000, 0.000).

For the density, the calculation gives 3.492 g/cm³. The value obtained for the polymorph energy (0 for the lowest one) is 31 meV per atom. For the formation energy, the calculation gives -0.02 eV per atom. For the total magnetization, the calculation gives 0.0 μB/f.u. The density of states at the Fermi level comes out at 1.5 states/eV/f.u.

Entry 3:
The following is a PBE calculation of LiNbTl2S4 after structural relaxation, from Alexandria.

The structure belongs to space group P1 (No. 1); the cell edges are 6.515, 6.534 and 6.810 Å and the angles 112.50°, 116.06° and 98.09°. The asymmetric unit holds Li at (0.000, 0.000, 0.000), Nb at (0.739, 0.238, 0.500), Tl at (0.287, 0.785, 0.501), Tl at (0.577, 0.577, 0.000), S at (0.032, 0.587, 0.868), S at (0.361, 0.226, 0.439), S at (0.719, 0.166, 0.132) and S at (0.791, 0.923, 0.562).

The value obtained for the raw formation energy is -0.79 eV per atom. For the density, the calculation gives 4.735 g/cm³. For the total magnetization, the calculation gives 0.0 μB/f.u. The density of states at the Fermi level comes out at 0.0 states/eV/f.u.

Entry 4:
The following is a PBE calculation of YScSi2Ru after structural relaxation, from Alexandria.

The structure belongs to space group I-4m2 (No. 119); the cell edges are 4.005, 4.005 and 11.350 Å and the angles 90.00°, 90.00° and 90.00°. The asymmetric unit holds Y at (0.000, 0.000, 0.000), Sc at (0.000, 0.500, 0.250), Si at (0.000, 0.000, 0.396) and Ru at (0.000, 0.500, 0.750).

The value obtained for the raw formation energy is -0.81 eV per atom. For the density, the calculation gives 5.311 g/cm³. For the total magnetization, the calculation gives 0.0 μB/f.u. The density of states at the Fermi level comes out at 2.0 states/eV/f.u.

Entry 5:
The following is a PBE calculation of Tl3F4 after structural relaxation, from Alexandria.

The structure belongs to space group R-3m (No. 166, hexagonal axes); the cell edges are 7.8964, 7.8964 and 19.2493 Å and the angles 90.00°, 90.00° and 120.00°. The asymmetric unit holds Tl at (0.0000, 0.0000, 0.0000), Tl at (0.0000, 0.0000, 0.3714), Tl at (0.0000, 0.5000, 0.5000), F at (0.0000, 0.0000, 0.2458) and F at (0.0691, 0.5345, 0.7342).

The value obtained for the raw formation energy is -1.80 eV per atom. For the density, the calculation gives 6.605 g/cm³. For the total magnetization, the calculation gives 0.0 μB/f.u. The density of states at the Fermi level comes out at 0.0 states/eV/f.u.

Entry 6:
The following is a PBE calculation of Nd2YI after structural relaxation, from Alexandria.

The structure belongs to space group R3m (No. 160, hexagonal axes); the cell edges are 3.8177, 3.8177 and 32.4171 Å and the angles 90.00°, 90.00° and 120.00°. The asymmetric unit holds Nd at (0.0000, 0.0000, 0.0000), Nd at (0.0000, 0.0000, 0.1545), Y at (0.0000, 0.0000, 0.5770) and I at (0.0000, 0.0000, 0.7441).

The value obtained for the raw formation energy is -0.41 eV per atom. For the density, the calculation gives 6.140 g/cm³. The value obtained for the polymorph energy (0 for the lowest one) is 0 meV per atom. For the total magnetization, the calculation gives 0.4 μB/f.u. The density of states at the Fermi level comes out at 5.0 states/eV/f.u.

Entry 7:
The following is a PBE calculation of Ho4In3Rh after structural relaxation, from Alexandria.

The structure belongs to space group P4/mmm (No. 123); the cell edges are 3.504, 3.504 and 16.039 Å and the angles 90.00°, 90.00° and 90.00°. The asymmetric unit holds Ho at (0.000, 0.000, 0.102), Ho at (0.000, 0.000, 0.369), In at (0.500, 0.500, 0.238), In at (0.500, 0.500, 0.500) and Rh at (0.500, 0.500, 0.000).

For the density, the calculation gives 9.334 g/cm³. For the formation energy, the calculation gives -0.58 eV per atom. For the total magnetization, the calculation gives 0.0 μB/f.u. The density of states at the Fermi level comes out at 4.7 states/eV/f.u.

Entry 8:
The following is a PBE calculation of Rb3MnFe after structural relaxation, from Alexandria.

The structure belongs to space group Pm-3m (No. 221); the cell edges are 6.634, 6.634 and 6.634 Å and the angles 90.00°, 90.00° and 90.00°. The asymmetric unit holds Rb at (0.000, 0.000, 0.500), Mn at (0.500, 0.500, 0.500) and Fe at (0.000, 0.000, 0.000).

For the density, the calculation gives 2.088 g/cm³. The value obtained for the polymorph energy (0 for the lowest one) is 0 meV per atom. For the formation energy, the calculation gives 1.31 eV per atom. For the total magnetization, the calculation gives 2.1 μB/f.u. The density of states at the Fermi level comes out at 20.0 states/eV/f.u.

Number 1: calculated volume 32.51 Å³ per atom. Number 2: calculated volume 17.65 Å³ per atom. Number 3: calculated volume 27.92 Å³ per atom. Number 4: calculated volume 18.20 Å³ per atom. Number 5: calculated volume 24.75 Å³ per atom. Number 6: calculated volume 34.10 Å³ per atom. Number 7: calculated volume 24.62 Å³ per atom. Number 8: calculated volume 58.39 Å³ per atom.